[1]
A plane-wave DFT calculation with PBE was carried out for an optimized crystal structure of NaNb3Os.

Cell and atoms, written as POSCAR:
```
NaNb3Os
1.0
-1.424 -4.110 -1.359
3.619 -1.915 2.000
-2.375 -0.455 3.862
Nb Os Na
3 1 1
direct
0.500 0.000 0.000
0.000 0.500 0.000
0.000 0.000 0.500
0.500 0.500 0.500
0.000 0.000 0.000
```

Properties
Energy relative to the lowest polymorph listed for this composition: 1313.1 meV/atom
DFT total energy: -30.981 eV/cell
Size of the total moment: 0.000 Bohr magnetons per cell
Space group: Pm-3m
Formation energy: 2.3555 eV per atom
N(E_F): 7.16 states/eV/f.u.

[2]
A plane-wave DFT calculation with PBE was carried out for an optimized crystal structure of PrAgHgPd.

Cell and atoms, written as POSCAR:
```
PrAgHgPd
1.0
-0.176 -4.363 -2.450
-0.560 -4.277 2.541
-4.306 -2.538 -0.288
Ag Pr Pd Hg
1 1 1 1
direct
0.750 0.750 0.750
0.000 0.000 0.000
0.250 0.250 0.250
0.500 0.500 0.500
```

Properties
DFT total energy: -14.724 eV/cell
Size of the total moment: 0.000 Bohr magnetons per cell
Space group: F-43m
Formation energy: -0.3997 eV per atom
N(E_F): 2.60 states/eV/f.u.

[3]
A plane-wave DFT calculation with PBE was carried out for an optimized crystal structure of AcNd2ThS4.

Cell and atoms, written as POSCAR:
```
AcNd2ThS4
1.0
4.099 0.000 0.000
0.000 7.141 0.131
0.000 -2.485 6.707
Nd S Th Ac
2 4 1 1
direct
0.000 0.500 0.500
0.500 0.000 0.500
0.000 0.743 0.253
0.500 0.261 0.259
0.500 0.739 0.741
0.000 0.257 0.747
0.500 0.500 0.000
0.000 0.000 0.000
```

Properties
Formation energy without anion corrections: -1.95 eV per atom
DFT total energy: -53.178 eV/cell
Size of the total moment: 0.000 Bohr magnetons per cell
Space group: P2/m
N(E_F): 3.31 states/eV/f.u.

[4]
A plane-wave DFT calculation with PBE was carried out for an optimized crystal structure of ScMo.

Cell and atoms, written as POSCAR:
```
ScMo
1.0
-2.741 1.059 3.684
4.201 -2.020 0.692
1.982 4.214 0.263
Sc Mo
2 2
direct
0.333 0.667 0.250
0.667 0.333 0.750
0.000 0.000 0.000
0.000 0.000 0.500
```

Properties
Energy relative to the lowest polymorph listed for this composition: 661.6 meV/atom
DFT total energy: -31.775 eV/cell
Size of the total moment: 0.000 Bohr magnetons per cell
Space group: P6_3/mmc
Formation energy: 0.6375 eV per atom
N(E_F): 2.61 states/eV/f.u.

[5]
A plane-wave DFT calculation with PBE was carried out for an optimized crystal structure of Ce2Fe3B12Ru.

Cell and atoms, written as POSCAR:
```
Ce2Fe3B12Ru
1.0
8.034 1.536 1.089
5.303 6.227 1.089
5.303 3.087 5.517
B Ce Ru Fe
12 2 1 3
direct
0.344 0.344 0.025
0.656 0.975 0.656
0.656 0.656 0.975
0.048 0.673 0.048
0.673 0.048 0.048
0.952 0.327 0.952
0.327 0.952 0.952
0.952 0.952 0.327
0.975 0.656 0.656
0.344 0.025 0.344
0.048 0.048 0.673
0.025 0.344 0.344
0.642 0.642 0.642
0.358 0.358 0.358
0.000 0.000 0.000
0.500 0.000 0.000
0.000 0.500 0.000
0.000 0.000 0.500
```

Properties
DFT total energy: -126.494 eV/cell
Size of the total moment: 5.830 Bohr magnetons per cell
Space group: R-3m
Formation energy: 0.0093 eV per atom
N(E_F): 8.78 states/eV/f.u.

[6]
A plane-wave DFT calculation with PBE was carried out for an optimized crystal structure of RbNdMnTe3.

Cell and atoms, written as POSCAR:
```
RbNdMnTe3
1.0
-1.917 -4.097 -0.735
8.881 -3.587 -3.175
-0.710 -1.565 10.582
Nd Rb Te Mn
2 2 6 2
direct
0.250 0.671 0.140
0.750 0.329 0.860
0.750 0.792 0.762
0.250 0.208 0.238
0.250 0.535 0.833
0.250 0.798 0.466
0.750 0.893 0.139
0.750 0.465 0.167
0.250 0.107 0.861
0.750 0.202 0.534
0.750 0.915 0.394
0.250 0.085 0.606
```

Properties
Formation energy without anion corrections: -0.98 eV per atom
DFT total energy: -60.411 eV/cell
Size of the total moment: 10.011 Bohr magnetons per cell
Space group: P2_1/m
N(E_F): 0.08 states/eV/f.u.